# 1
TlCdF2 PBE relaxed; calculated total energy = -3.052 eV/atom; formation energy from raw total energies = -1.30 eV/atom; polymorph energy (0 for the lowest one) = 353.7 meV per atom; crystal system = cubic; SG = No. 225
1.0
0.000 3.302 3.302
3.302 0.000 3.302
3.302 3.302 0.000
Tl Cd F
1 1 2
Direct
0.000 0.000 0.000
0.500 0.500 0.500
0.250 0.250 0.250
0.750 0.750 0.750

***

# 2
Tl3CdF PBE relaxed; calculated total energy = -2.504 eV/atom; formation energy from raw total energies = -0.53 eV/atom; polymorph energy (0 for the lowest one) = 0.0 meV per atom; crystal system = cubic; SG = No. 221
1.0
5.278 0.000 0.000
0.000 5.278 0.000
0.000 0.000 5.278
Tl Cd F
3 1 1
Direct
0.000 0.000 0.500
0.000 0.500 0.000
0.500 0.000 0.000
0.500 0.500 0.500
0.000 0.000 0.000

***

# 3
Tl2CdF PBE relaxed; calculated total energy = -2.538 eV/atom; formation energy from raw total energies = -0.66 eV/atom; polymorph energy (0 for the lowest one) = 80.2 meV per atom; crystal system = tetragonal; SG = No. 123
1.0
5.297 0.000 0.000
0.000 5.297 0.000
0.000 0.000 3.452
Tl Cd F
2 1 1
Direct
0.000 0.500 0.000
0.500 0.000 0.000
0.000 0.000 0.500
0.500 0.500 0.500